Below is an optimized crystal structure of KLiDy2Mo4O16, with properties calculated at the PBE+U level.

Properties
VASP energy = -7.1549 eV/atom
Magnetization = 0.00 μB/cell

The structure in extended XYZ format:
```
48
Lattice="2.638 -6.380 0.000 2.638 6.380 0.000 -1.497 0.000 19.802" Properties=species:S:1:pos:R:3 pbc="T T T"
K 1.516 5.974 14.852
K 2.264 -5.974 4.951
Li 1.516 2.391 14.852
Li 2.264 -2.391 4.951
Dy 1.837 4.508 10.521
Dy 1.194 4.508 19.182
Dy 2.585 -4.508 0.620
Dy 1.943 -4.508 9.281
Mo 2.016 3.128 7.023
Mo 2.512 3.128 2.878
Mo 1.158 0.796 17.994
Mo 1.873 0.796 11.709
Mo 1.907 -0.796 8.093
Mo 2.621 -0.796 1.808
Mo 1.268 -3.128 16.924
Mo 1.763 -3.128 12.779
O 1.758 4.663 3.338
O 1.006 3.342 8.591
O 0.984 2.621 5.683
O 1.146 1.978 2.561
O 0.331 2.136 19.005
O 0.448 0.256 10.657
O 0.836 0.629 7.931
O 2.770 4.663 6.563
O 1.196 -0.256 0.756
O 1.124 1.170 13.267
O 0.088 -0.629 17.832
O 0.398 -1.978 12.462
O 3.522 3.342 1.310
O 0.236 -2.621 15.584
O 1.873 -1.170 3.366
O 2.700 2.136 10.699
O 1.080 -2.136 9.104
O 1.907 1.170 16.437
O 3.544 2.621 4.218
O 0.257 -3.342 18.492
O 3.382 1.978 7.340
O 3.692 0.629 1.970
O 2.655 -1.170 6.536
O 2.583 0.256 19.047
O 1.010 -4.663 13.239
O 2.943 -0.629 11.871
O 3.332 -0.256 9.145
O 3.448 -2.136 0.798
O 2.633 -1.978 17.241
O 2.796 -2.621 14.120
O 2.774 -3.342 11.211
O 2.021 -4.663 16.464
```